No. 1
The following is a DFT calculation (PBE) of a geometry-optimized SrLiSn2 structure.

a b c (Å): 5.4045 5.4045 5.4045
angles (deg): 60.00 60.00 60.00
Last column: nearest neighbours and their distance in Å.
Fractional coordinates of all 4 atoms:
Sn  0.2500  0.2500  0.2500  4 Sr 3.31, 4 Li 3.31
Li  0.0000  0.0000  0.0000  8 Sn 3.31
Sn  0.7500  0.7500  0.7500  4 Sr 3.31, 4 Li 3.31
Sr  0.5000  0.5000  0.5000  8 Sn 3.31

Results
Symmetry: Fm-3m
Energy of formation in eV per formula unit: -1.44
Size of the total moment in μB/cell: 0.00

***

No. 2
The following is a DFT calculation (PBE) of a geometry-optimized Cs2Ba4Au structure.

a b c (Å): 6.5756 6.5756 13.0996
angles (deg): 75.46 75.46 90.00
Last column: nearest neighbours and their distance in Å.
Fractional coordinates of all 7 atoms:
Au  0.0000  0.0000  0.0000  6 Ba 3.18-3.29
Ba  0.0000  0.5000  0.0000  2 Au 3.29
Ba  0.1299  0.1299  0.7401  1 Au 3.18
Ba  0.5000  0.0000  0.0000  2 Au 3.29
Ba  0.8701  0.8701  0.2599  1 Au 3.18
Cs  0.6707  0.6707  0.6586  9 Ba 4.76-5.32
Cs  0.3293  0.3293  0.3414  9 Ba 4.76-5.32

Results
Symmetry: I4/mmm
Energy of formation in eV per formula unit: -0.68
Size of the total moment in μB/cell: 0.00

***

No. 3
The following is a DFT calculation (PBE) of a geometry-optimized KRb4Cd3Cl12 structure.

a b c (Å): 9.3822 9.3822 9.3822
angles (deg): 109.47 109.47 109.47
Last column: nearest neighbours and their distance in Å.
Fractional coordinates of all 20 atoms:
Cd  0.5000  0.0000  0.5000  6 Cl 2.50-2.71
Cl  0.5000  0.2500  0.7500  2 Cd 2.71
K  0.0000  0.0000  0.0000  6 Cl 2.92
Rb  0.0000  0.5000  0.0000  12 Cl 3.83-3.84
Cd  0.0000  0.5000  0.5000  6 Cl 2.50-2.71
Cl  0.2500  0.7500  0.5000  2 Cd 2.71
Cl  0.2695  0.0000  0.2695  1 Cd 2.50
Rb  0.5000  0.5000  0.5000  12 Cl 3.83-3.84
Cl  0.2695  0.2695  0.0000  1 Cd 2.50
Cl  0.0000  0.2695  0.2695  1 Cd 2.50
Cd  0.5000  0.5000  0.0000  6 Cl 2.50-2.71
Cl  0.7500  0.5000  0.2500  2 Cd 2.71
Cl  0.5000  0.7500  0.2500  2 Cd 2.71
Cl  0.2500  0.5000  0.7500  2 Cd 2.71
Cl  0.7305  0.7305  0.0000  1 Cd 2.50
Cl  0.7305  0.0000  0.7305  1 Cd 2.50
Cl  0.7500  0.2500  0.5000  2 Cd 2.71
Cl  0.0000  0.7305  0.7305  1 Cd 2.50
Rb  0.5000  0.0000  0.0000  12 Cl 3.83-3.84
Rb  0.0000  0.0000  0.5000  12 Cl 3.83-3.84

Results
Symmetry: Im-3m
Size of the total moment in μB/cell: 0.00
Uncorrected formation energy in eV per formula unit: -28.4

***

No. 4
The following is a DFT calculation (PBE) of a geometry-optimized Dy4Y5Er2 structure.

a b c (Å): 3.5434 9.3917 11.7737
angles (deg): 106.39 81.39 112.19
Last column: nearest neighbours and their distance in Å.
Fractional coordinates of all 11 atoms:
Dy  0.6805  0.6349  0.9086  4 Er 3.52-3.54, 5 Dy 3.53-3.54, 3 Y 3.56
Y  0.4096  0.1833  0.5477  7 Y 3.53-3.58, 3 Dy 3.54-3.56, 2 Er 3.55
Y  0.9543  0.0903  0.2728  7 Y 3.53-3.57, 3 Dy 3.55-3.56, 2 Er 3.56
Y  0.5000  0.0000  0.0000  2 Er 3.54, 6 Y 3.54-3.55, 4 Dy 3.56
Er  0.8643  0.2745  0.8203  5 Dy 3.52-3.55, 5 Y 3.54-3.56, 2 Er 3.54
Dy  0.2272  0.5457  0.6366  5 Y 3.54-3.56, 6 Dy 3.54-3.56, 1 Er 3.55
Dy  0.3195  0.3651  0.0914  4 Er 3.52-3.54, 5 Dy 3.53-3.54, 3 Y 3.56
Y  0.0457  0.9097  0.7272  7 Y 3.53-3.57, 3 Dy 3.55-3.56, 2 Er 3.56
Er  0.1357  0.7255  0.1797  5 Dy 3.52-3.55, 5 Y 3.54-3.56, 2 Er 3.54
Y  0.5904  0.8167  0.4523  7 Y 3.53-3.58, 3 Dy 3.54-3.56, 2 Er 3.55
Dy  0.7728  0.4543  0.3634  5 Y 3.54-3.56, 6 Dy 3.54-3.56, 1 Er 3.55

Results
Symmetry: C2/m
Energy of formation in eV per formula unit: 0.24
Energy relative to the lowest polymorph listed for this composition in eV per formula unit: 0.00
Size of the total moment in μB/cell: 0.00

***

No. 5
The following is a DFT calculation (PBE) of a geometry-optimized HfV2Cr structure.

a b c (Å): 2.9966 2.9966 6.7188
angles (deg): 90.00 90.00 90.00
Last column: nearest neighbours and their distance in Å.
Fractional coordinates of all 4 atoms:
Hf  0.5000  0.5000  0.5000  8 V 2.91, 4 Hf 3.00
Cr  0.5000  0.5000  0.0000  8 V 2.52
V  0.0000  0.0000  0.7961  4 Cr 2.52, 1 V 2.74
V  0.0000  0.0000  0.2039  4 Cr 2.52, 1 V 2.74

Results
Symmetry: P4/mmm
Energy of formation in eV per formula unit: 0.34
Energy relative to the lowest polymorph listed for this composition in eV per formula unit: 0.00
Size of the total moment in μB/cell: 0.00

***

No. 6
The following is a DFT calculation (PBE) of a geometry-optimized MnBeTl3 structure.

a b c (Å): 5.0053 5.0053 5.0053
angles (deg): 90.00 90.00 90.00
Last column: nearest neighbours and their distance in Å.
Fractional coordinates of all 5 atoms:
Mn  0.5000  0.5000  0.5000  12 Tl 3.54
Tl  0.0000  0.5000  0.0000  2 Be 2.50
Tl  0.0000  0.0000  0.5000  2 Be 2.50
Tl  0.5000  0.0000  0.0000  2 Be 2.50
Be  0.0000  0.0000  0.0000  6 Tl 2.50

Results
Symmetry: Pm-3m
Energy of formation in eV per formula unit: 3.34
Energy relative to the lowest polymorph listed for this composition in eV per formula unit: 0.00
Size of the total moment in μB/cell: 4.57

***

No. 7
The following is a DFT calculation (PBE) of a geometry-optimized BeCrSb2 structure.

a b c (Å): 4.8832 4.8832 4.8832
angles (deg): 60.00 60.00 60.00
Last column: nearest neighbours and their distance in Å.
Fractional coordinates of all 4 atoms:
Sb  0.2500  0.2500  0.2500  4 Sb 2.99, 4 Be 2.99
Sb  0.0000  0.0000  0.0000  4 Cr 2.99, 4 Sb 2.99
Cr  0.7500  0.7500  0.7500  4 Be 2.99, 4 Sb 2.99
Be  0.5000  0.5000  0.5000  4 Cr 2.99, 4 Sb 2.99

Results
Symmetry: F-43m
Size of the total moment in μB/cell: 3.73
Uncorrected formation energy in eV per formula unit: 3.1

***

No. 8
The following is a DFT calculation (PBE) of a geometry-optimized UCl2O3 structure.

a b c (Å): 8.9047 5.9632 5.9524
angles (deg): 67.01 90.00 90.00
Last column: nearest neighbours and their distance in Å.
Fractional coordinates of all 12 atoms:
O  0.2500  0.7098  0.9256  1 U 1.81
O  0.2500  0.5749  0.4228  1 U 1.91
Cl  0.0624  0.2129  0.7884  2 U 2.83, 2 O 2.92-3.11, 1 Cl 3.01
Cl  0.4376  0.2129  0.7884  2 U 2.83, 2 O 2.92-3.11, 1 Cl 3.01
U  0.2500  0.8652  0.1337  3 O 1.81-1.91
O  0.2500  0.0700  0.2926  1 U 1.81
Cl  0.9376  0.7871  0.2116  2 U 2.83, 2 O 2.92-3.11, 1 Cl 3.01
O  0.7500  0.2902  0.0744  1 U 1.81
O  0.7500  0.4251  0.5772  1 U 1.91
Cl  0.5624  0.7871  0.2116  2 U 2.83, 2 O 2.92-3.11, 1 Cl 3.01
O  0.7500  0.9300  0.7074  1 U 1.81
U  0.7500  0.1348  0.8663  3 O 1.81-1.91

Results
Symmetry: P2_1/m
Size of the total moment in μB/cell: 2.81
Uncorrected formation energy in eV per formula unit: -9.5

***

No. 9
The following is a DFT calculation (PBE) of a geometry-optimized Cu2Sn2Se5 structure.

a b c (Å): 4.2855 6.7442 8.8552
angles (deg): 103.86 90.00 108.52
Last column: nearest neighbours and their distance in Å.
Fractional coordinates of all 9 atoms:
Cu  0.1582  0.3164  0.8595  5 Se 2.43-2.63
Se  0.0000  0.0000  0.0000  2 Cu 2.63, 4 Se 2.88
Sn  0.6242  0.2484  0.3613  3 Se 2.80-2.86
Se  0.6491  0.2981  0.9948  3 Cu 2.47-2.48
Se  0.1507  0.3014  0.5824  1 Cu 2.43
Se  0.3509  0.7019  0.0052  3 Cu 2.47-2.48
Sn  0.3758  0.7516  0.6387  3 Se 2.80-2.86
Se  0.8493  0.6986  0.4176  1 Cu 2.43
Cu  0.8418  0.6836  0.1405  5 Se 2.43-2.63

Results
Symmetry: C2/m
Energy relative to the lowest polymorph listed for this composition in eV per formula unit: 0.61
Size of the total moment in μB/cell: 0.00
Uncorrected formation energy in eV per formula unit: -1.1

***

No. 10
The following is a DFT calculation (PBE) of a geometry-optimized NdSmGeRh structure.

a b c (Å): 5.0941 5.0941 5.0941
angles (deg): 60.00 60.00 60.00
Last column: nearest neighbours and their distance in Å.
Fractional coordinates of all 4 atoms:
Ge  0.7500  0.7500  0.7500  4 Nd 3.12, 4 Sm 3.12
Sm  0.0000  0.0000  0.0000  4 Ge 3.12, 4 Rh 3.12
Rh  0.2500  0.2500  0.2500  4 Nd 3.12, 4 Sm 3.12
Nd  0.5000  0.5000  0.5000  4 Rh 3.12, 4 Ge 3.12

Results
Symmetry: F-43m
Energy of formation in eV per formula unit: -2.49
Energy relative to the lowest polymorph listed for this composition in eV per formula unit: 0.69
Size of the total moment in μB/cell: 0.00

***

> Which of these has the highest size of the total moment?

MnBeTl3